Record 1
Compound: CdSnIr2
Source: OQMD
Functional: GGA-PBE
Structure: relaxed

Structure (POSCAR):
```
CdSnIr2
1.0
0.000 3.272 3.272
3.272 0.000 3.272
3.272 3.272 0.000
Ir Cd Sn
2 1 1
direct
0.750 0.750 0.750
0.000 0.000 0.000
0.250 0.250 0.250
0.500 0.500 0.500
```

Symmetry: F-43m (216)
Size of the total moment: 0.0078 μB/atom
Final energy: -5.283 eV per atom

***

Record 2
Compound: Li4CoCuGe2
Source: OQMD
Functional: GGA-PBE
Structure: relaxed

Structure (POSCAR):
```
Li4CoCuGe2
1.0
-2.529 -2.157 2.457
-0.423 -2.864 -2.950
4.591 -2.912 2.169
Li Co Cu Ge
4 1 1 2
direct
0.500 0.500 0.000
0.000 0.000 0.500
0.000 0.500 0.251
0.500 0.000 0.749
0.500 0.500 0.500
0.000 0.000 0.000
0.500 0.000 0.270
0.000 0.500 0.730
```

Symmetry: P-4m2 (115)
Size of the total moment: 0.0035 μB/atom
Final energy: -3.737 eV per atom